1.
Computed, not measured: BeTlTe after structural relaxation at the PBE level of DFT.

Properties
Raw formation energy = -38 meV/atom
Fermi-level density of states = 0.60 states/eV/f.u.
Excess energy over the best structure of this formula in the dataset = 14 meV/atom

abc: 3.9158 3.9204 6.3925
angles: 94.99 101.08 119.76
Last column: nearest neighbours and their distance in Å.
Space group P1 (No. 1)
Inequivalent atoms, fractional coordinates:
1 Be 0.0000 0.0000 0.0000  3 Te 2.40-2.41
2 Tl 0.4726 0.2080 0.6527  3 Be 3.07-3.18
3 Te 0.4026 0.7176 0.1331  3 Be 2.40-2.41

=====

2.
Computed, not measured: BeTlTe2 after structural relaxation at the PBE level of DFT.

Properties
Raw formation energy = -167 meV/atom
Fermi-level density of states = 2.86 states/eV/f.u.
Excess energy over the best structure of this formula in the dataset = 0 meV/atom

abc: 6.6180 6.6180 11.6888
angles: 90.00 90.00 90.00
Last column: nearest neighbours and their distance in Å.
Space group I-42d (No. 122)
Inequivalent atoms, fractional coordinates:
1 Be 0.0000 0.0000 0.0000  4 Te 2.45
2 Tl 0.0000 0.0000 0.5000  4 Te 3.14
3 Te 0.1623 0.2500 0.1250  2 Be 2.45

=====

3.
Computed, not measured: BeTl2Te2 after structural relaxation at the PBE level of DFT.

Properties
Raw formation energy = -275 meV/atom

abc: 7.0756 13.9489 6.5882
angles: 90.00 90.00 90.00
Last column: nearest neighbours and their distance in Å.
Space group Ibam (No. 72)
Inequivalent atoms, fractional coordinates:
1 Be 0.0000 0.0000 0.2500  4 Te 2.51
2 Tl 0.1787 0.3591 0.0000  2 Be 3.43, 6 Te 3.48-3.63
3 Te 0.1841 0.0988 0.0000  2 Be 2.51

=====

4.
Computed, not measured: Be2TlTe after structural relaxation at the PBE level of DFT.

Properties
Raw formation energy = 652 meV/atom
Fermi-level density of states = 1.46 states/eV/f.u.
Excess energy over the best structure of this formula in the dataset = 302 meV/atom

abc: 3.6272 6.3280 7.6237
angles: 90.00 90.00 90.00
Last column: nearest neighbours and their distance in Å.
Space group Immm (No. 71)
Inequivalent atoms, fractional coordinates:
1 Be 0.0000 0.0000 0.2313  2 Te 2.53, 2 Tl 2.74
2 Tl 0.0000 0.5000 0.0000  4 Be 2.74
3 Te 0.0000 0.5000 0.5000  4 Be 2.53

=====

5.
Computed, not measured: Be2TlTe after structural relaxation at the PBE level of DFT.

Properties
Raw formation energy = 410 meV/atom
Fermi-level density of states = 1.64 states/eV/f.u.
Excess energy over the best structure of this formula in the dataset = 60 meV/atom

abc: 3.7064 4.5557 5.4996
angles: 90.00 90.00 90.00
Last column: nearest neighbours and their distance in Å.
Space group Pmmm (No. 47)
Inequivalent atoms, fractional coordinates:
1 Be 0.0000 0.0000 0.1904  1 Be 2.09
2 Tl 0.5000 0.5000 0.0000  8 Be 3.12
3 Te 0.5000 0.0000 0.5000  4 Be 2.52

=====

6.
Computed, not measured: BeTlTe after structural relaxation at the PBE level of DFT.

Properties
Raw formation energy = -20 meV/atom
Fermi-level density of states = 0.65 states/eV/f.u.
Excess energy over the best structure of this formula in the dataset = 32 meV/atom

abc: 3.9195 7.0179 7.0838
angles: 63.07 74.49 89.96
Last column: nearest neighbours and their distance in Å.
Space group P-1 (No. 2)
Inequivalent atoms, fractional coordinates:
1 Be 0.1952 0.0217 0.1170  3 Te 2.43-2.47, 1 Tl 2.55, 2 Be 2.62-2.64
2 Tl 0.0000 0.0000 0.5000  2 Be 2.55
3 Tl 0.5000 0.5000 0.5000  4 Te 3.53-3.56, 4 Be 3.86-3.91, 2 Tl 3.92
4 Te 0.2441 0.7372 0.0093  3 Be 2.43-2.47

=====

7.
Computed, not measured: BeTl3Te after structural relaxation at the PBE level of DFT.

Properties
Raw formation energy = 842 meV/atom
Fermi-level density of states = 3.27 states/eV/f.u.
Excess energy over the best structure of this formula in the dataset = 741 meV/atom

abc: 6.5158 6.5158 6.5158
angles: 90.00 90.00 90.00
Last column: nearest neighbours and their distance in Å.
Space group Pm-3m (No. 221)
Inequivalent atoms, fractional coordinates:
1 Be 0.0000 0.0000 0.0000  12 Tl 4.61
2 Tl 0.0000 0.5000 0.5000  2 Te 3.26
3 Te 0.5000 0.5000 0.5000  6 Tl 3.26

=====

8.
Computed, not measured: BeTl6Te4 after structural relaxation at the PBE level of DFT.

Properties
Raw formation energy = -267 meV/atom

abc: 10.7617 10.7617 7.9762
angles: 90.00 90.00 120.00
Last column: nearest neighbours and their distance in Å.
Space group P6_3mc (No. 186)
Inequivalent atoms, fractional coordinates:
1 Be 0.3333 0.6667 0.0000  4 Te 2.51-2.57
2 Tl 0.0563 0.5281 0.6133  5 Te 3.43-3.59, 1 Be 3.74, 2 Tl 3.84
3 Tl 0.1515 0.3030 0.3073  4 Te 3.33-3.52
4 Te 0.2045 0.4090 0.9090  1 Be 2.51
5 Te 0.3333 0.6667 0.3219  1 Be 2.57

=====

9.
Computed, not measured: Be2TlTe after structural relaxation at the PBE level of DFT.

Properties
Raw formation energy = 655 meV/atom
Fermi-level density of states = 1.64 states/eV/f.u.
Excess energy over the best structure of this formula in the dataset = 304 meV/atom

abc: 3.6460 3.7409 6.2243
angles: 90.00 90.00 90.00
Last column: nearest neighbours and their distance in Å.
Space group Pmmm (No. 47)
Inequivalent atoms, fractional coordinates:
1 Be 0.0000 0.0000 0.0000  4 Te 2.61
2 Be 0.0000 0.5000 0.5000  4 Tl 2.61
3 Tl 0.5000 0.0000 0.5000  4 Be 2.61
4 Te 0.5000 0.5000 0.0000  4 Be 2.61

=====

10.
Computed, not measured: BeTlTe2 after structural relaxation at the PBE level of DFT.

Properties
Raw formation energy = 450 meV/atom
Fermi-level density of states = 1.47 states/eV/f.u.
Excess energy over the best structure of this formula in the dataset = 617 meV/atom

abc: 4.0445 4.0445 16.9084
angles: 90.00 90.00 90.00
Last column: nearest neighbours and their distance in Å.
Space group I-4m2 (No. 119)
Inequivalent atoms, fractional coordinates:
1 Be 0.0000 0.0000 0.0000  4 Te 2.86
2 Tl 0.0000 0.5000 0.2500  4 Te 2.86
3 Te 0.0000 0.0000 0.5000  4 Be 2.86
4 Te 0.0000 0.5000 0.7500  4 Tl 2.86

=====

11.
Computed, not measured: Be2TlTe after structural relaxation at the PBE level of DFT.

Properties
Raw formation energy = 469 meV/atom
Fermi-level density of states = 1.10 states/eV/f.u.
Excess energy over the best structure of this formula in the dataset = 119 meV/atom

abc: 3.2911 3.2911 8.0841
angles: 90.00 90.00 90.00
Last column: nearest neighbours and their distance in Å.
Space group P4mm (No. 99)
Inequivalent atoms, fractional coordinates:
1 Be 0.0000 0.0000 0.0000  1 Te 2.36, 4 Be 2.51
2 Be 0.5000 0.5000 0.1156  4 Be 2.51, 4 Te 2.73
3 Tl 0.5000 0.5000 0.7492  5 Be 2.96-3.09, 4 Tl 3.29
4 Te 0.0000 0.0000 0.2922  1 Be 2.36

=====

12.
Computed, not measured: BeTlTe2 after structural relaxation at the PBE level of DFT.

Properties
Raw formation energy = 506 meV/atom
Fermi-level density of states = 2.37 states/eV/f.u.
Excess energy over the best structure of this formula in the dataset = 674 meV/atom

abc: 7.4699 7.4699 7.4699
angles: 90.00 90.00 90.00
Last column: nearest neighbours and their distance in Å.
Space group Fm-3m (No. 225)
Inequivalent atoms, fractional coordinates:
1 Be 0.0000 0.0000 0.0000  8 Te 3.23
2 Tl 0.0000 0.0000 0.5000  8 Te 3.23
3 Te 0.2500 0.2500 0.2500  4 Tl 3.23, 4 Be 3.23

=====

13.
Computed, not measured: BeTlTe2 after structural relaxation at the PBE level of DFT.

Properties
Raw formation energy = 580 meV/atom
Fermi-level density of states = 1.25 states/eV/f.u.
Excess energy over the best structure of this formula in the dataset = 747 meV/atom

abc: 4.6067 4.6067 5.1244
angles: 90.00 90.00 90.00
Last column: nearest neighbours and their distance in Å.
Space group P4/mmm (No. 123)
Inequivalent atoms, fractional coordinates:
1 Be 0.0000 0.0000 0.0000  4 Tl 3.26, 8 Te 3.45
2 Tl 0.5000 0.5000 0.0000  4 Be 3.26, 8 Te 3.45
3 Te 0.0000 0.5000 0.5000  4 Te 3.26, 4 Tl 3.45, 4 Be 3.45

=====

14.
Computed, not measured: BeTlTe2 after structural relaxation at the PBE level of DFT.

Properties
Raw formation energy = 451 meV/atom
Fermi-level density of states = 1.90 states/eV/f.u.
Excess energy over the best structure of this formula in the dataset = 618 meV/atom

abc: 6.5294 8.4935 4.4088
angles: 90.00 115.05 90.00
Last column: nearest neighbours and their distance in Å.
Space group C2/m (No. 12)
Inequivalent atoms, fractional coordinates:
1 Be 0.0000 0.0000 0.0000  4 Te 3.00, 2 Tl 3.26
2 Tl 0.0000 0.5000 0.0000  4 Te 3.00, 2 Be 3.26
3 Te 0.2500 0.2500 0.5000  2 Be 3.00, 2 Tl 3.00, 2 Te 3.26

=====

15.
Computed, not measured: BeTlTe2 after structural relaxation at the PBE level of DFT.

Properties
Raw formation energy = 112 meV/atom
Fermi-level density of states = 2.45 states/eV/f.u.
Excess energy over the best structure of this formula in the dataset = 280 meV/atom

abc: 5.0730 5.0730 22.4670
angles: 90.00 90.00 120.00
Last column: nearest neighbours and their distance in Å.
Space group R-3m (No. 166, hexagonal axes)
Inequivalent atoms, fractional coordinates:
1 Be 0.0000 0.0000 0.0000  2 Te 2.23
2 Tl 0.0000 0.0000 0.5000  6 Te 3.30
3 Te 0.0000 0.0000 0.0993  1 Be 2.23

=====

16.
Computed, not measured: BeTlTe2 after structural relaxation at the PBE level of DFT.

Properties
Raw formation energy = 625 meV/atom
Fermi-level density of states = 2.72 states/eV/f.u.
Excess energy over the best structure of this formula in the dataset = 792 meV/atom

abc: 7.4915 7.4915 7.4915
angles: 90.00 90.00 90.00
Last column: nearest neighbours and their distance in Å.
Space group F-43m (No. 216)
Inequivalent atoms, fractional coordinates:
1 Be 0.0000 0.0000 0.0000  4 Tl 3.24, 4 Te 3.24
2 Tl 0.2500 0.2500 0.2500  4 Te 3.24, 4 Be 3.24
3 Te 0.0000 0.0000 0.5000  4 Te 3.24, 4 Tl 3.24
4 Te 0.2500 0.2500 0.7500  4 Te 3.24, 4 Be 3.24

=====

17.
Computed, not measured: BeTlTe after structural relaxation at the PBE level of DFT.

Properties
Raw formation energy = 25 meV/atom
Fermi-level density of states = 1.02 states/eV/f.u.
Excess energy over the best structure of this formula in the dataset = 77 meV/atom

abc: 3.8657 6.9127 7.2410
angles: 115.41 90.02 90.49
Last column: nearest neighbours and their distance in Å.
Space group P1 (No. 1)
Inequivalent atoms, fractional coordinates:
1 Be 0.0000 0.0000 0.0000  2 Be 2.26, 3 Te 2.39-2.48
2 Be 0.5003 0.0208 0.1698  2 Be 2.26, 2 Te 2.42
3 Tl 0.0015 0.6749 0.2792  1 Te 3.31, 3 Be 3.41-3.61, 2 Tl 3.52-3.53
4 Tl 0.5017 0.5568 0.8358  3 Be 3.08-3.40, 1 Te 3.36
5 Te 0.0035 0.1889 0.3792  3 Be 2.42-2.48
6 Te 0.5008 0.0371 0.8226  3 Be 2.39-2.56

=====

18.
Computed, not measured: BeTlTe2 after structural relaxation at the PBE level of DFT.

Properties
Raw formation energy = 273 meV/atom
Fermi-level density of states = 1.52 states/eV/f.u.
Excess energy over the best structure of this formula in the dataset = 440 meV/atom

abc: 3.8813 5.5522 10.0798
angles: 90.00 90.00 90.00
Last column: nearest neighbours and their distance in Å.
Space group Cmm2 (No. 35)
Inequivalent atoms, fractional coordinates:
1 Be 0.0000 0.0000 0.0000  2 Te 2.41
2 Tl 0.0000 0.5000 0.2147  2 Be 2.91
3 Te 0.0000 0.0000 0.4942  4 Te 3.39, 2 Tl 3.42
4 Te 0.0000 0.5000 0.8590  2 Be 2.41

=====

19.
Computed, not measured: BeTlTe after structural relaxation at the PBE level of DFT.

Properties
Raw formation energy = 384 meV/atom
Fermi-level density of states = 1.81 states/eV/f.u.
Excess energy over the best structure of this formula in the dataset = 436 meV/atom

abc: 6.7723 6.7723 6.7723
angles: 90.00 90.00 90.00
Last column: nearest neighbours and their distance in Å.
Space group F-43m (No. 216)
Inequivalent atoms, fractional coordinates:
1 Be 0.0000 0.0000 0.0000  4 Te 2.93, 4 Tl 2.93
2 Tl 0.2500 0.2500 0.7500  4 Be 2.93
3 Te 0.2500 0.2500 0.2500  4 Be 2.93

=====

20.
Computed, not measured: BeTlTe after structural relaxation at the PBE level of DFT.

Properties
Raw formation energy = -24 meV/atom
Fermi-level density of states = 0.31 states/eV/f.u.
Excess energy over the best structure of this formula in the dataset = 28 meV/atom

abc: 4.6589 8.0941 4.6681
angles: 90.00 100.33 90.00
Last column: nearest neighbours and their distance in Å.
Space group Pm (No. 6)
Inequivalent atoms, fractional coordinates:
1 Be 0.0000 0.0000 0.0000  1 Be 2.23, 2 Te 2.41
2 Be 0.4857 0.0000 0.0848  1 Be 2.23, 2 Te 2.42
3 Tl 0.2416 0.0000 0.5452  4 Be 2.57-2.61
4 Tl 0.3527 0.5000 0.4285  6 Te 3.47-3.73
5 Te 0.7359 0.2544 0.0171  2 Be 2.41-2.42